1.
# Nd2Y2Tl3 PBE relaxed
data_Nd2Y2Tl3
_chemical_formula_sum 'Nd4 Y4 Tl6'
_cell_length_a 12.377
_cell_length_b 3.815
_cell_length_c 8.758
_cell_angle_alpha 90.00
_cell_angle_beta 93.54
_cell_angle_gamma 90.00
_space_group_name_H-M_alt 'C 1 2/m 1'
_space_group_IT_number 12
loop_
_space_group_symop_operation_xyz
'x,y,z'
'-x,-y,-z'
'-x,y,-z'
'x,-y,z'
'x+1/2,y+1/2,z'
'-x+1/2,-y+1/2,-z'
'-x+1/2,y+1/2,-z'
'x+1/2,-y+1/2,z'
loop_
_atom_site_label
_atom_site_type_symbol
_atom_site_fract_x
_atom_site_fract_y
_atom_site_fract_z
_atom_site_occupancy
Nd1 Nd 0.206 0.000 0.159 1
Y1 Y 0.062 0.000 0.712 1
Tl1 Tl 0.000 0.500 0.000 1
Tl2 Tl 0.149 0.500 0.455 1
# relative energy among the computed polymorphs: 0.000 eV per atom
# raw total energy: -0.165 Ha/atom
# magnetic moment: 1.0 μB per cell

2.
# NdY2Tl PBE relaxed
data_NdY2Tl
_chemical_formula_sum 'Nd2 Y4 Tl2'
_cell_length_a 6.823
_cell_length_b 3.496
_cell_length_c 11.082
_cell_angle_alpha 90.00
_cell_angle_beta 91.35
_cell_angle_gamma 90.00
_space_group_name_H-M_alt 'P 1 21/m 1'
_space_group_IT_number 11
loop_
_space_group_symop_operation_xyz
'x,y,z'
'-x,-y,-z'
'-x,y+1/2,-z'
'x,-y+1/2,z'
loop_
_atom_site_label
_atom_site_type_symbol
_atom_site_fract_x
_atom_site_fract_y
_atom_site_fract_z
_atom_site_occupancy
Nd1 Nd 0.163 0.250 0.402 1
Y1 Y 0.120 0.750 0.882 1
Y2 Y 0.379 0.250 0.115 1
Tl1 Tl 0.357 0.750 0.633 1
# relative energy among the computed polymorphs: 0.256 eV per atom
# raw total energy: -0.182 Ha/atom
# magnetic moment: 0.0 μB per cell

3.
# Nd2Y2Tl7 PBE relaxed
data_Nd2Y2Tl7
_chemical_formula_sum 'Nd4 Y4 Tl14'
_cell_length_a 11.757
_cell_length_b 9.424
_cell_length_c 6.189
_cell_angle_alpha 90.00
_cell_angle_beta 96.55
_cell_angle_gamma 90.00
_space_group_name_H-M_alt 'C 1 2/m 1'
_space_group_IT_number 12
loop_
_space_group_symop_operation_xyz
'x,y,z'
'-x,-y,-z'
'-x,y,-z'
'x,-y,z'
'x+1/2,y+1/2,z'
'-x+1/2,-y+1/2,-z'
'-x+1/2,y+1/2,-z'
'x+1/2,-y+1/2,z'
loop_
_atom_site_label
_atom_site_type_symbol
_atom_site_fract_x
_atom_site_fract_y
_atom_site_fract_z
_atom_site_occupancy
Nd1 Nd 0.227 0.000 0.182 1
Y1 Y 0.000 0.311 0.500 1
Tl1 Tl 0.000 0.500 0.000 1
Tl2 Tl 0.039 0.000 0.746 1
Tl3 Tl 0.229 0.334 0.278 1
# raw total energy: -0.135 Ha/atom
# magnetic moment: 0.0 μB per cell

4.
# Nd2YTl PBE relaxed
data_Nd2YTl
_chemical_formula_sum 'Nd8 Y4 Tl4'
_cell_length_a 7.925
_cell_length_b 7.925
_cell_length_c 7.925
_cell_angle_alpha 90.00
_cell_angle_beta 90.00
_cell_angle_gamma 90.00
_space_group_name_H-M_alt 'F m -3 m'
_space_group_IT_number 225
_space_group_name_Hall '-F 4 2 3'
loop_
_atom_site_label
_atom_site_type_symbol
_atom_site_fract_x
_atom_site_fract_y
_atom_site_fract_z
_atom_site_occupancy
Nd1 Nd 0.250 0.250 0.250 1
Y1 Y 0.000 0.000 0.000 1
Tl1 Tl 0.000 0.000 0.500 1
# relative energy among the computed polymorphs: 0.152 eV per atom
# raw total energy: -0.171 Ha/atom
# magnetic moment: 5.2 μB per cell

5.
# NdY6Tl2 PBE relaxed
data_NdY6Tl2
_chemical_formula_sum 'Nd4 Y24 Tl8'
_cell_length_a 15.709
_cell_length_b 11.590
_cell_length_c 6.048
_cell_angle_alpha 90.00
_cell_angle_beta 97.32
_cell_angle_gamma 90.00
_space_group_name_H-M_alt 'C 1 2/c 1'
_space_group_IT_number 15
loop_
_space_group_symop_operation_xyz
'x,y,z'
'-x,-y,-z'
'-x,y,-z+1/2'
'x,-y,z+1/2'
'x+1/2,y+1/2,z'
'-x+1/2,-y+1/2,-z'
'-x+1/2,y+1/2,-z+1/2'
'x+1/2,-y+1/2,z+1/2'
loop_
_atom_site_label
_atom_site_type_symbol
_atom_site_fract_x
_atom_site_fract_y
_atom_site_fract_z
_atom_site_occupancy
Nd1 Nd 0.000 0.109 0.250 1
Y1 Y 0.058 0.384 0.516 1
Y2 Y 0.122 0.142 0.804 1
Y3 Y 0.231 0.125 0.333 1
Tl1 Tl 0.158 0.371 0.093 1
# relative energy among the computed polymorphs: 0.048 eV per atom
# raw total energy: -0.201 Ha/atom
# magnetic moment: 0.0 μB per cell

6.
# NdY3Tl2 PBE relaxed
data_NdY3Tl2
_chemical_formula_sum 'Nd2 Y6 Tl4'
_cell_length_a 5.153
_cell_length_b 10.086
_cell_length_c 6.865
_cell_angle_alpha 90.00
_cell_angle_beta 90.00
_cell_angle_gamma 90.00
_space_group_name_H-M_alt 'P m c 21'
_space_group_IT_number 26
loop_
_space_group_symop_operation_xyz
'x,y,z'
'-x,-y,z+1/2'
'-x,y,z'
'x,-y,z+1/2'
loop_
_atom_site_label
_atom_site_type_symbol
_atom_site_fract_x
_atom_site_fract_y
_atom_site_fract_z
_atom_site_occupancy
Nd1 Nd 0.000 0.044 0.000 1
Y1 Y 0.000 0.317 0.621 1
Y2 Y 0.500 0.191 0.278 1
Y3 Y 0.500 0.455 0.906 1
Tl1 Tl 0.000 0.368 0.160 1
Tl2 Tl 0.500 0.137 0.738 1
# relative energy among the computed polymorphs: 0.000 eV per atom
# raw total energy: -0.188 Ha/atom
# magnetic moment: 0.0 μB per cell

Q: Among the records above, which one has the lowest raw total energy?
A: NdY6Tl2

Q: The highest magnetic moment belongs to which entry?
A: Nd2YTl

Please write out number 3 again, unchanged.
# Nd2Y2Tl7 PBE relaxed
data_Nd2Y2Tl7
_chemical_formula_sum 'Nd4 Y4 Tl14'
_cell_length_a 11.757
_cell_length_b 9.424
_cell_length_c 6.189
_cell_angle_alpha 90.00
_cell_angle_beta 96.55
_cell_angle_gamma 90.00
_space_group_name_H-M_alt 'C 1 2/m 1'
_space_group_IT_number 12
loop_
_space_group_symop_operation_xyz
'x,y,z'
'-x,-y,-z'
'-x,y,-z'
'x,-y,z'
'x+1/2,y+1/2,z'
'-x+1/2,-y+1/2,-z'
'-x+1/2,y+1/2,-z'
'x+1/2,-y+1/2,z'
loop_
_atom_site_label
_atom_site_type_symbol
_atom_site_fract_x
_atom_site_fract_y
_atom_site_fract_z
_atom_site_occupancy
Nd1 Nd 0.227 0.000 0.182 1
Y1 Y 0.000 0.311 0.500 1
Tl1 Tl 0.000 0.500 0.000 1
Tl2 Tl 0.039 0.000 0.746 1
Tl3 Tl 0.229 0.334 0.278 1
# raw total energy: -0.135 Ha/atom
# magnetic moment: 0.0 μB per cell